# KAgHg2, single point on PBEsol structure, DFT meta-GGA SCAN
# theoretical density = 7.87 Mg/m³
# total magnetization = 0.0000 μB per atom
# DOS(E_F) = 1.256 states/eV/f.u.
# crystal system = monoclinic
# volume = 115.66 Å³ per cell
# E_tot = -176.687 eV for the cell shown
# energy above the most stable polymorph in this dataset = 13 meV/atom
# energy relative to the elements = -165 meV per atom
data_KAgHg2
_chemical_formula_sum 'K1 Ag1 Hg2'
_cell_length_a 4.806
_cell_length_b 4.814
_cell_length_c 6.402
_cell_angle_alpha 112.07
_cell_angle_beta 90.00
_cell_angle_gamma 119.94
_symmetry_space_group_name_H-M 'P 1'
_symmetry_Int_Tables_number 1
loop_
_symmetry_equiv_pos_as_xyz
'x,y,z'
loop_
_atom_site_label
_atom_site_type_symbol
_atom_site_fract_x
_atom_site_fract_y
_atom_site_fract_z
_atom_site_occupancy
K1 K 0.508 0.016 0.522 1
Hg1 Hg 0.968 0.936 0.904 1
Hg2 Hg 0.709 0.418 0.129 1
Ag1 Ag 0.315 0.630 0.946 1